{
  "formula": "Er4Tl2Hg",
  "functional": "PBE",
  "state": "relaxed",
  "crystal_system": "monoclinic",
  "sg": "P2_1/m (11)",
  "magnetic_moment_mub_per_fu": 0.000,
  "energy_ev_per_atom": -3.503,
  "ef_ev_per_atom": -0.18,
  "relative_energy_mev_per_atom": 62,
  "lattice_angstrom": [[7.0834, 0.0000, -0.4656], [0.0000, 6.7259, 0.0000], [-3.1734, 0.0000, 8.6889]],
  "species": ["Er", "Er", "Er", "Er", "Er", "Er", "Er", "Er", "Tl", "Tl", "Tl", "Tl", "Hg", "Hg"],
  "fractional_positions": [[0.5602, 0.4918, 0.2321], [0.0288, 0.7500, 0.8391], [0.9712, 0.2500, 0.1609], [0.5602, 0.0082, 0.2321], [0.9667, 0.2500, 0.5555], [0.4398, 0.9918, 0.7679], [0.4398, 0.5082, 0.7679], [0.0333, 0.7500, 0.4445], [0.7590, 0.7500, 0.0555], [0.2410, 0.2500, 0.9445], [0.3810, 0.2500, 0.4584], [0.6190, 0.7500, 0.5416], [0.2081, 0.7500, 0.1969], [0.7919, 0.2500, 0.8031]]
}